{
  "formula": "YMnMo",
  "functional": "PBE-GGA",
  "state": "relaxed",
  "n_ef_per_ev_atom": 1.638,
  "vol_a3_per_atom": 19.50,
  "dft_energy_ev_per_cell": -24.507,
  "mass_density_g_cm3": 6.81,
  "magmom_total_mub_per_cell": 0.0,
  "lattice": [[0.0000, 3.0810, 3.0810], [3.0810, 0.0000, 3.0810], [3.0810, 3.0810, 0.0000]],
  "species": ["Y", "Mn", "Mo"],
  "frac_coords": [[0.0000, 0.0000, 0.0000], [0.7500, 0.7500, 0.7500], [0.5000, 0.5000, 0.5000]]
}